# PBE Rb3Ni, optimized geometry
# Energy relative to the lowest polymorph listed for this composition = 0.000 eV per atom
# SG = P6_3/mmc, No. 194
# M_tot = 0.3 μB per cell
# Electronic total energy = -12.16 eV/cell
data_Rb3Ni
_symmetry_space_group_name_H-M 'P 1'
_symmetry_Int_Tables_number 1
_symmetry_space_group_name_Hall 'P 1'
_cell_length_a 8.5188
_cell_length_b 8.5188
_cell_length_c 5.9317
_cell_angle_alpha 90.00
_cell_angle_beta 90.00
_cell_angle_gamma 120.00
loop_
_atom_site_label
_atom_site_type_symbol
_atom_site_fract_x
_atom_site_fract_y
_atom_site_fract_z
_atom_site_occupancy
Rb1 Rb 0.1849 0.3699 0.2500 1
Rb2 Rb 0.1849 0.8151 0.2500 1
Rb3 Rb 0.3699 0.1849 0.7500 1
Rb4 Rb 0.6301 0.8151 0.2500 1
Rb5 Rb 0.8151 0.1849 0.7500 1
Rb6 Rb 0.8151 0.6301 0.7500 1
Ni1 Ni 0.3333 0.6667 0.7500 1
Ni2 Ni 0.6667 0.3333 0.2500 1



# PBE RbNi3, optimized geometry
# Energy relative to the lowest polymorph listed for this composition = 0.582 eV per atom
# SG = I4/mmm, No. 139
# M_tot = 0.8 μB per cell
# Electronic total energy = -12.71 eV/cell
data_RbNi3
_symmetry_space_group_name_H-M 'P 1'
_symmetry_Int_Tables_number 1
_symmetry_space_group_name_Hall 'P 1'
_cell_length_a 4.6507
_cell_length_b 4.6507
_cell_length_c 4.6507
_cell_angle_alpha 125.65
_cell_angle_beta 125.65
_cell_angle_gamma 80.47
loop_
_atom_site_label
_atom_site_type_symbol
_atom_site_fract_x
_atom_site_fract_y
_atom_site_fract_z
_atom_site_occupancy
Rb1 Rb 0.0000 0.0000 0.0000 1
Ni1 Ni 0.2500 0.7500 0.5000 1
Ni2 Ni 0.5000 0.5000 0.0000 1
Ni3 Ni 0.7500 0.2500 0.5000 1



# PBE RbNi, optimized geometry
# SG = P-6m2, No. 187
# M_tot = 0.1 μB per cell
# Electronic total energy = -4.15 eV/cell
data_RbNi
_symmetry_space_group_name_H-M 'P 1'
_symmetry_Int_Tables_number 1
_symmetry_space_group_name_Hall 'P 1'
_cell_length_a 3.3213
_cell_length_b 3.3213
_cell_length_c 5.2697
_cell_angle_alpha 90.00
_cell_angle_beta 90.00
_cell_angle_gamma 120.00
loop_
_atom_site_label
_atom_site_type_symbol
_atom_site_fract_x
_atom_site_fract_y
_atom_site_fract_z
_atom_site_occupancy
Rb1 Rb 0.0000 0.0000 0.0000 1
Ni1 Ni 0.3333 0.6667 0.5000 1



# PBE RbNi2, optimized geometry
# Energy relative to the lowest polymorph listed for this composition = 0.954 eV per atom
# SG = P4_2/mnm, No. 136
# M_tot = 2.2 μB per cell
# Electronic total energy = -14.05 eV/cell
data_RbNi2
_symmetry_space_group_name_H-M 'P 1'
_symmetry_Int_Tables_number 1
_symmetry_space_group_name_Hall 'P 1'
_cell_length_a 5.4215
_cell_length_b 5.4215
_cell_length_c 5.7105
_cell_angle_alpha 90.00
_cell_angle_beta 90.00
_cell_angle_gamma 90.00
loop_
_atom_site_label
_atom_site_type_symbol
_atom_site_fract_x
_atom_site_fract_y
_atom_site_fract_z
_atom_site_occupancy
Rb1 Rb 0.0000 0.0000 0.0000 1
Rb2 Rb 0.5000 0.5000 0.5000 1
Ni1 Ni 0.1417 0.1417 0.5000 1
Ni2 Ni 0.3583 0.6417 0.0000 1
Ni3 Ni 0.6417 0.3583 0.0000 1
Ni4 Ni 0.8583 0.8583 0.5000 1



# PBE RbNi, optimized geometry
# SG = F-43m, No. 216
# M_tot = 1.0 μB per cell
# Electronic total energy = -3.74 eV/cell
data_RbNi
_symmetry_space_group_name_H-M 'P 1'
_symmetry_Int_Tables_number 1
_symmetry_space_group_name_Hall 'P 1'
_cell_length_a 5.4231
_cell_length_b 5.4231
_cell_length_c 5.4231
_cell_angle_alpha 60.00
_cell_angle_beta 60.00
_cell_angle_gamma 60.00
loop_
_atom_site_label
_atom_site_type_symbol
_atom_site_fract_x
_atom_site_fract_y
_atom_site_fract_z
_atom_site_occupancy
Rb1 Rb 0.0000 0.0000 0.0000 1
Ni1 Ni 0.2500 0.2500 0.2500 1



# PBE Rb2Ni, optimized geometry
# Energy relative to the lowest polymorph listed for this composition = 0.000 eV per atom
# SG = Fm-3m, No. 225
# M_tot = 0.0 μB per cell
# Electronic total energy = -5.44 eV/cell
data_Rb2Ni
_symmetry_space_group_name_H-M 'P 1'
_symmetry_Int_Tables_number 1
_symmetry_space_group_name_Hall 'P 1'
_cell_length_a 5.6654
_cell_length_b 5.6654
_cell_length_c 5.6654
_cell_angle_alpha 60.00
_cell_angle_beta 60.00
_cell_angle_gamma 60.00
loop_
_atom_site_label
_atom_site_type_symbol
_atom_site_fract_x
_atom_site_fract_y
_atom_site_fract_z
_atom_site_occupancy
Rb1 Rb 0.2500 0.2500 0.2500 1
Rb2 Rb 0.7500 0.7500 0.7500 1
Ni1 Ni 0.0000 0.0000 0.0000 1



# PBE RbNi2, optimized geometry
# Energy relative to the lowest polymorph listed for this composition = 0.000 eV per atom
# SG = Fd-3m, No. 227
# M_tot = 1.9 μB per cell
# Electronic total energy = -19.78 eV/cell
data_RbNi2
_symmetry_space_group_name_H-M 'P 1'
_symmetry_Int_Tables_number 1
_symmetry_space_group_name_Hall 'P 1'
_cell_length_a 5.3354
_cell_length_b 5.3354
_cell_length_c 5.3354
_cell_angle_alpha 60.00
_cell_angle_beta 60.00
_cell_angle_gamma 60.00
loop_
_atom_site_label
_atom_site_type_symbol
_atom_site_fract_x
_atom_site_fract_y
_atom_site_fract_z
_atom_site_occupancy
Rb1 Rb 0.1250 0.1250 0.1250 1
Rb2 Rb 0.8750 0.8750 0.8750 1
Ni1 Ni 0.0000 0.5000 0.5000 1
Ni2 Ni 0.5000 0.0000 0.5000 1
Ni3 Ni 0.5000 0.5000 0.0000 1
Ni4 Ni 0.5000 0.5000 0.5000 1



# PBE Rb3Ni, optimized geometry
# Energy relative to the lowest polymorph listed for this composition = 0.046 eV per atom
# SG = Fm-3m, No. 225
# M_tot = 0.5 μB per cell
# Electronic total energy = -5.90 eV/cell
data_Rb3Ni
_symmetry_space_group_name_H-M 'P 1'
_symmetry_Int_Tables_number 1
_symmetry_space_group_name_Hall 'P 1'
_cell_length_a 6.4346
_cell_length_b 6.4346
_cell_length_c 6.4346
_cell_angle_alpha 60.00
_cell_angle_beta 60.00
_cell_angle_gamma 60.00
loop_
_atom_site_label
_atom_site_type_symbol
_atom_site_fract_x
_atom_site_fract_y
_atom_site_fract_z
_atom_site_occupancy
Rb1 Rb 0.0000 0.0000 0.0000 1
Rb2 Rb 0.2500 0.2500 0.2500 1
Rb3 Rb 0.7500 0.7500 0.7500 1
Ni1 Ni 0.5000 0.5000 0.5000 1